The following is a GGA-PBE calculation of an optimized crystal structure of Tm7Tl2Ge2, from Alexandria.

```
Tm7Tl2Ge2
1.0
-2.423 5.408 3.299
-6.529 -2.531 -0.647
1.282 -4.551 4.863
Tm Tl Ge
7 2 2
Direct
0.500 0.251 0.500
0.500 0.264 0.000
0.500 0.749 0.500
0.000 0.000 0.000
0.500 0.736 0.000
0.000 0.736 0.500
0.000 0.264 0.500
0.182 0.500 0.182
0.818 0.500 0.818
0.279 0.000 0.721
0.721 0.000 0.279
```

Output
Raw total energy: -48.15 eV/cell
Symmetry: Cmmm (65)
Magnetization: 0.25 μB per cell
Energy relative to the elements: -262 meV per atom